Density functional theory data (PBE) for an optimized crystal structure of Nd2Ni2Ge3.

Computed properties:
* formation enthalpy at 0 K: -0.684 eV/atom
* VASP energy: -79.5 eV for the cell shown
* E above lowest polymorph: 0.000 eV per formula unit
* magnetization: 0.000 μB/cell

a b c (Å): 4.2741 6.8481 9.3408
angles (deg): 90.00 103.23 90.00
With the nearest neighbours (Å) after each atom.
Fractional positions:
Nd 0.8401 0.7500 0.6801  6 Ni 2.91-3.07, 6 Ge 3.02-3.03
Ge 0.5665 0.4384 0.1330  1 Ni 2.51, 2 Ge 2.56-2.58
Ni 0.3025 0.4443 0.6050  4 Ge 2.51-2.56, 1 Ni 2.66
Ni 0.6975 0.9443 0.3950  4 Ge 2.51-2.56, 1 Ni 2.66
Nd 0.1599 0.2500 0.3199  6 Ni 2.91-3.07, 6 Ge 3.02-3.03
Nd 0.9486 0.2500 0.8972  9 Ge 3.03-3.29
Ni 0.6975 0.5557 0.3950  4 Ge 2.51-2.56, 1 Ni 2.66
Nd 0.0514 0.7500 0.1028  9 Ge 3.03-3.29
Ge 0.2218 0.7500 0.4435  6 Ni 2.56
Ge 0.7782 0.2500 0.5565  6 Ni 2.56
Ge 0.5665 0.0616 0.1330  1 Ni 2.51, 2 Ge 2.56-2.58
Ge 0.4335 0.9384 0.8670  1 Ni 2.51, 2 Ge 2.56-2.58
Ge 0.4335 0.5616 0.8670  1 Ni 2.51, 2 Ge 2.56-2.58
Ni 0.3025 0.0557 0.6050  4 Ge 2.51-2.56, 1 Ni 2.66